Entry 1:
# Ca2ZrRe

Crystalline Ca2ZrRe at its relaxed geometry (PBE, the Alexandria database).

Summary:
Excess energy over the best structure of this formula in the dataset (kcal/mol of atoms): 4.872
E (eV/atom): -5.839
ΔH_f (0 K) (eV per atom): 0.410

a b c (Å): 6.2632 6.2632 6.2632
angles (deg): 146.83 127.13 63.85
Positions (direct):
Ca 0.7106 0.2106 0.5000
Ca 0.0061 0.0061 0.0000
Zr 0.3071 0.8071 0.5000
Re 0.4761 0.4761 0.0000



Entry 2:
# CaZr2Re

Crystalline CaZr2Re at its relaxed geometry (PBE, the Alexandria database).

Summary:
Excess energy over the best structure of this formula in the dataset (kcal/mol of atoms): 7.835
E (eV/atom): -7.506
ΔH_f (0 K) (eV per atom): 0.380

a b c (Å): 4.8220 4.8221 3.6442
angles (deg): 90.00 90.00 90.09
Positions (direct):
Re 0.0000 0.5000 0.5000
Zr 0.0000 0.0000 0.0000
Zr 0.5000 0.5000 0.0000
Ca 0.5000 0.0000 0.5000



Entry 3:
# CaZr2Re

Crystalline CaZr2Re at its relaxed geometry (PBE, the Alexandria database).

Summary:
Excess energy over the best structure of this formula in the dataset (kcal/mol of atoms): 10.097
E (eV/atom): -7.408
ΔH_f (0 K) (eV per atom): 0.478

a b c (Å): 2.8409 5.8571 5.9497
angles (deg): 58.73 90.00 90.00
Positions (direct):
Zr 0.5000 0.5000 0.0000
Zr 0.0000 0.0000 0.0000
Re 0.0000 0.0000 0.5000
Ca 0.5000 0.5000 0.5000



Entry 4:
# CaZr2Re

Crystalline CaZr2Re at its relaxed geometry (PBE, the Alexandria database).

Summary:
Excess energy over the best structure of this formula in the dataset (kcal/mol of atoms): 6.393
E (eV/atom): -7.569
ΔH_f (0 K) (eV per atom): 0.318

a b c (Å): 4.6547 3.1354 6.5689
angles (deg): 76.21 90.00 90.00
Positions (direct):
Zr 0.5000 0.2705 0.1958
Zr 0.0000 0.9389 0.9766
Ca 0.0000 0.5636 0.5198
Re 0.5000 0.7270 0.8077



Entry 5:
# Ca2ZrRe

Crystalline Ca2ZrRe at its relaxed geometry (PBE, the Alexandria database).

Summary:
Excess energy over the best structure of this formula in the dataset (kcal/mol of atoms): 11.495
E (eV/atom): -5.552
ΔH_f (0 K) (eV per atom): 0.698

a b c (Å): 2.9577 2.9577 10.9025
angles (deg): 90.00 90.00 103.88
Positions (direct):
Ca 0.0000 0.0000 0.4703
Ca 0.0000 0.0000 0.0297
Zr 0.5000 0.5000 0.7500
Re 0.5000 0.5000 0.2500



Entry 6:
# CaZr2Re

Crystalline CaZr2Re at its relaxed geometry (PBE, the Alexandria database).

Summary:
Excess energy over the best structure of this formula in the dataset (kcal/mol of atoms): 19.807
E (eV/atom): -6.987
ΔH_f (0 K) (eV per atom): 0.899

a b c (Å): 4.2949 4.2949 10.5087
angles (deg): 78.21 78.21 90.00
Positions (direct):
Ca 0.2500 0.7500 0.5000
Ca 0.5000 0.5000 0.0000
Zr 0.0986 0.6250 0.2500
Zr 0.8750 0.9014 0.7500
Zr 0.6514 0.1250 0.2500
Zr 0.3750 0.3486 0.7500
Re 0.7500 0.2500 0.5000
Re 0.0000 0.0000 0.0000